# PBE TlSi2Se, relaxed
# - energy above the most stable polymorph in this dataset (kJ/mol of atoms) = 11.83
# - formation energy without anion corrections (eV per atom) = 0.27
data_TlSi2Se
_cell_length_a 3.471
_cell_length_b 5.203
_cell_length_c 5.473
_cell_angle_alpha 90.00
_cell_angle_beta 105.14
_cell_angle_gamma 90.00
_symmetry_space_group_name_H-M 'P 1 m 1'
_symmetry_Int_Tables_number 6
_symmetry_space_group_name_Hall 'P -2y'
loop_
_atom_site_label
_atom_site_type_symbol
_atom_site_fract_x
_atom_site_fract_y
_atom_site_fract_z
Tl1 Tl 0.000 0.000 0.000
Si1 Si 0.255 0.500 0.501
Si2 Si 0.290 0.000 0.549
Se1 Se 0.625 0.500 0.186